Zr3PaTc4 | GGA-PBE | optimized geometry

Properties
Crystal system: orthorhombic
Total DFT energy (no corrections), eV/atom: -9.956

Cell lengths 3.3296, 4.7742, 9.2665 Å; angles 90.00, 90.00, 90.00 degrees
Closest atoms and distances in Å follow each position.
Space group Pmmm (No. 47)
Inequivalent atoms, fractional coordinates:
Zr1 0.0000 0.0000 0.0000  8 Tc 2.91
Zr2 0.0000 0.5000 0.2404  8 Tc 2.78-2.93
Pa1 0.0000 0.0000 0.5000  8 Tc 2.79-2.91
Tc1 0.5000 0.0000 0.2578  2 Pa 2.79, 6 Zr 2.91
Tc2 0.5000 0.5000 0.0000  8 Zr 2.78-2.91
Tc3 0.5000 0.5000 0.5000  4 Pa 2.91, 4 Zr 2.93


PaTl2ZnO6 | GGA-PBE | optimized geometry

Properties
Formation energy (no corrections), eV per formula unit: -16.88
Crystal system: trigonal

Cell lengths 5.7629, 5.7629, 15.1708 Å; angles 90.00, 90.00, 120.00 degrees
Closest atoms and distances in Å follow each position.
Space group R3 (No. 146, hexagonal axes)
Inequivalent atoms, fractional coordinates:
Pa1 0.0000 0.0000 0.0000  6 O 2.19-2.22
Tl1 0.0000 0.0000 0.2613  3 O 2.37
Tl2 0.0000 0.0000 0.7840  6 O 2.23-2.49
Zn1 0.0000 0.0000 0.4990  6 O 2.12-2.24
O1 0.0430 0.7007 0.0761  1 Pa 2.19, 1 Tl 2.23, 1 Zn 2.24
O2 0.0797 0.3472 0.5711  1 Zn 2.12, 1 Pa 2.22, 1 Tl 2.37